Entry 1:
# La2Al3Pt12Au | the Alexandria database | PBE | relaxed
data_La2Al3Pt12Au
_space_group_name_H-M_alt 'R -3 m'
_space_group_IT_number 166
_space_group_name_Hall '-R 3 2"'
_cell_length_a 8.2386
_cell_length_b 8.2386
_cell_length_c 18.8846
_cell_angle_alpha 90.00
_cell_angle_beta 90.00
_cell_angle_gamma 120.00
loop_
_atom_site_label
_atom_site_type_symbol
_atom_site_fract_x
_atom_site_fract_y
_atom_site_fract_z
La1 La 0.0000 0.0000 0.1157
Al1 Al 0.0000 0.5000 0.0000
Pt1 Pt 0.0140 0.5070 0.3746
Pt2 Pt 0.0192 0.5096 0.8718
Au1 Au 0.0000 0.0000 0.5000
# spin magnetization: 0.0 μB per cell
# ΔE_f: -449 meV/atom
# raw total energy: -5.83 eV per atom
# calculated density: 13.00 g cm⁻³

---

Entry 2:
# LaAlPt2Au | the Alexandria database | PBE | relaxed
data_LaAlPt2Au
_space_group_name_H-M_alt 'P 4/m m m'
_space_group_IT_number 123
_space_group_name_Hall '-P 4 2'
_cell_length_a 5.1599
_cell_length_b 5.1599
_cell_length_c 5.8965
_cell_angle_alpha 90.00
_cell_angle_beta 90.00
_cell_angle_gamma 90.00
loop_
_atom_site_label
_atom_site_type_symbol
_atom_site_fract_x
_atom_site_fract_y
_atom_site_fract_z
La1 La 0.0000 0.0000 0.0000
Al1 Al 0.0000 0.0000 0.5000
Pt1 Pt 0.0000 0.5000 0.0000
Au1 Au 0.5000 0.5000 0.5000
# spin magnetization: 0.0 μB per cell
# ΔE_f: 1029 meV/atom
# raw total energy: -3.78 eV per atom
# calculated density: 7.96 g cm⁻³

---

Entry 3:
# La2PuAl4Au3 | the Alexandria database | PBE | relaxed
data_La2PuAl4Au3
_space_group_name_H-M_alt 'P -4 m 2'
_space_group_IT_number 115
_cell_length_a 4.4611
_cell_length_b 4.4611
_cell_length_c 11.4035
_cell_angle_alpha 90.00
_cell_angle_beta 90.00
_cell_angle_gamma 90.00
loop_
_space_group_symop_operation_xyz
'x,y,z'
'y,-x,-z'
'-x,-y,z'
'-y,x,-z'
'-x,y,z'
'-y,-x,-z'
'x,-y,z'
'y,x,-z'
loop_
_atom_site_label
_atom_site_type_symbol
_atom_site_fract_x
_atom_site_fract_y
_atom_site_fract_z
La1 La 0.0000 0.5000 0.2433
Pu1 Pu 0.0000 0.0000 0.5000
Al1 Al 0.0000 0.0000 0.0000
Al2 Al 0.0000 0.5000 0.6646
Al3 Al 0.5000 0.5000 0.0000
Au1 Au 0.0000 0.5000 0.8828
Au2 Au 0.5000 0.5000 0.5000
# spin magnetization: 6.1 μB per cell
# ΔE_f: -523 meV/atom
# raw total energy: -5.42 eV per atom
# calculated density: 8.93 g cm⁻³

---

Entry 4:
# RbLa2AlAu | the Alexandria database | PBE | relaxed
data_RbLa2AlAu
_space_group_name_H-M_alt 'P 4/m m m'
_space_group_IT_number 123
_space_group_name_Hall '-P 4 2'
_cell_length_a 5.7173
_cell_length_b 5.7173
_cell_length_c 5.3108
_cell_angle_alpha 90.00
_cell_angle_beta 90.00
_cell_angle_gamma 90.00
loop_
_atom_site_label
_atom_site_type_symbol
_atom_site_fract_x
_atom_site_fract_y
_atom_site_fract_z
Rb1 Rb 0.0000 0.0000 0.0000
La1 La 0.0000 0.5000 0.0000
Al1 Al 0.5000 0.5000 0.5000
Au1 Au 0.0000 0.0000 0.5000
# spin magnetization: 0.0 μB per cell
# ΔE_f: 1067 meV/atom
# raw total energy: -2.50 eV per atom
# distance to the lowest polymorph of the same formula: 781 meV per atom
# calculated density: 5.62 g cm⁻³

---

> ΔE_f of number 2 (LaAlPt2Au)?

1029 meV/atom